First-principles (PBE) data for a geometry-optimized LaTaIr2 structure, as listed in Alexandria.

Crystal system   cubic
Space group   Fm-3m, No. 225
Formation energy from the elements   -0.53 eV/f.u.
Energy above the lowest structure with this stoichiometry   0.426 eV/atom
M_tot   0.00 μB per formula unit

a b c (Å): 4.7887 4.7887 4.7887
angles (deg): 60.00 60.00 60.00
Positions (direct):
Ir  0.2500  0.2500  0.2500
Ir  0.7500  0.7500  0.7500
La  0.0000  0.0000  0.0000
Ta  0.5000  0.5000  0.5000

First-principles (PBE) data for a geometry-optimized LaTa2Ir structure, as listed in Alexandria.

Crystal system   cubic
Space group   F-43m, No. 216
Formation energy from the elements   0.71 eV/f.u.
Energy above the lowest structure with this stoichiometry   0.261 eV/atom
M_tot   0.00 μB per formula unit

a b c (Å): 4.8221 4.8221 4.8221
angles (deg): 60.00 60.00 60.00
Positions (direct):
Ir  0.5000  0.5000  0.5000
La  0.7500  0.7500  0.7500
Ta  0.2500  0.2500  0.2500
Ta  0.0000  0.0000  0.0000

First-principles (PBE) data for a geometry-optimized LaTa2Ir structure, as listed in Alexandria.

Crystal system   tetragonal
Space group   I4/mmm, No. 139
Formation energy from the elements   1.06 eV/f.u.
Energy above the lowest structure with this stoichiometry   0.351 eV/atom
M_tot   0.00 μB per formula unit

a b c (Å): 5.8091 5.8091 5.8091
angles (deg): 139.33 139.33 58.88
Positions (direct):
Ta  0.0000  0.0000  0.0000
Ta  0.5000  0.5000  0.0000
Ir  0.2500  0.7500  0.5000
La  0.7500  0.2500  0.5000

First-principles (PBE) data for a geometry-optimized LaTa2Ir structure, as listed in Alexandria.

Crystal system   orthorhombic
Space group   Cmmm, No. 65
Formation energy from the elements   1.57 eV/f.u.
Energy above the lowest structure with this stoichiometry   0.477 eV/atom
M_tot   0.00 μB per formula unit

a b c (Å): 5.6644 5.6644 2.9417
angles (deg): 90.00 90.00 122.00
Positions (direct):
Ir  0.5000  0.0000  0.5000
La  0.0000  0.5000  0.5000
Ta  0.5000  0.5000  0.0000
Ta  0.0000  0.0000  0.0000

First-principles (PBE) data for a geometry-optimized LaTa2Ir structure, as listed in Alexandria.

Crystal system   monoclinic
Space group   Cm, No. 8
Formation energy from the elements   0.55 eV/f.u.
Energy above the lowest structure with this stoichiometry   0.221 eV/atom
M_tot   0.00 μB per formula unit

a b c (Å): 5.3092 5.3092 5.7321
angles (deg): 75.28 75.28 33.88
Positions (direct):
Ta  0.9724  0.9724  0.0778
Ta  0.2391  0.2391  0.2622
La  0.7657  0.7657  0.7332
Ir  0.5228  0.5228  0.4268

First-principles (PBE) data for a geometry-optimized LaTaIr2 structure, as listed in Alexandria.

Crystal system   trigonal
Space group   R-3m, No. 166
Formation energy from the elements   -2.03 eV/f.u.
Energy above the lowest structure with this stoichiometry   0.052 eV/atom
M_tot   0.00 μB per formula unit

a b c (Å): 4.3462 4.3462 5.9002
angles (deg): 68.41 68.41 60.03
Positions (direct):
La  0.7500  0.7500  0.7500
Ta  0.2500  0.2500  0.2500
Ir  0.5357  0.5357  0.3929
Ir  0.9643  0.9643  0.1071

First-principles (PBE) data for a geometry-optimized La2TaIr structure, as listed in Alexandria.

Crystal system   tetragonal
Space group   P4mm, No. 99
Formation energy from the elements   -0.67 eV/f.u.
Energy above the lowest structure with this stoichiometry   0.006 eV/atom
M_tot   0.00 μB per formula unit

a b c (Å): 3.3121 3.3071 9.8620
angles (deg): 70.46 90.00 90.00
Positions (direct):
Ir  0.5000  0.8015  0.6982
Ta  0.0000  0.4406  0.5593
La  0.0000  0.0643  0.9366
La  0.5000  0.1936  0.3060

First-principles (PBE) data for a geometry-optimized LaTaIr2 structure, as listed in Alexandria.

Crystal system   trigonal
Space group   R3m, No. 160
Formation energy from the elements   1.44 eV/f.u.
Energy above the lowest structure with this stoichiometry   0.918 eV/atom
M_tot   0.09 μB per formula unit

a b c (Å): 10.2978 10.2978 10.2978
angles (deg): 16.35 16.35 16.35
Positions (direct):
La  0.5060  0.5060  0.5060
Ir  0.2585  0.2585  0.2585
Ir  0.9988  0.9988  0.9988
Ta  0.7367  0.7367  0.7367

Repeat the eighth record exactly.
First-principles (PBE) data for a geometry-optimized LaTaIr2 structure, as listed in Alexandria.

Crystal system   trigonal
Space group   R3m, No. 160
Formation energy from the elements   1.44 eV/f.u.
Energy above the lowest structure with this stoichiometry   0.918 eV/atom
M_tot   0.09 μB per formula unit

a b c (Å): 10.2978 10.2978 10.2978
angles (deg): 16.35 16.35 16.35
Positions (direct):
La  0.5060  0.5060  0.5060
Ir  0.2585  0.2585  0.2585
Ir  0.9988  0.9988  0.9988
Ta  0.7367  0.7367  0.7367